1.
TaCoCl2: relaxed, PBEsol.

Computed properties:
The value obtained for the formation energy without anion corrections is 0.56 eV per atom. The calculation puts the total energy at -5.5165 eV/atom. The density of states at the Fermi level comes out at 4.17 states/eV/cell. The value obtained for the energy above the most stable polymorph in this dataset is 0.45 eV/f.u.

Unit cell a=3.0425 b=4.2669 c=4.2669 alpha=90.00 beta=90.00 gamma=90.00
Last column: nearest neighbours and their distance in Å.
Atoms (fractional coordinates):
Cl  0.0000  0.0000  0.5000  4 Ta 2.62, 4 Co 2.62
Ta  0.5000  0.0000  0.0000  8 Cl 2.62
Cl  0.0000  0.5000  0.0000  4 Ta 2.62, 4 Co 2.62
Co  0.5000  0.5000  0.5000  8 Cl 2.62



2.
CoTc2Cl: relaxed, PBEsol.

Computed properties:
The value obtained for the formation energy without anion corrections is 0.55 eV per atom. The calculation puts the total energy at -7.5179 eV/atom. The density of states at the Fermi level comes out at 4.63 states/eV/cell.

Unit cell a=2.7927 b=4.2324 c=4.9619 alpha=115.24 beta=106.34 gamma=90.00
Last column: nearest neighbours and their distance in Å.
Atoms (fractional coordinates):
Tc  0.0014  0.0014  0.0029  4 Cl 2.54, 4 Tc 2.68-2.79, 2 Co 2.73
Co  0.2266  0.7266  0.4531  2 Cl 2.37, 4 Tc 2.56
Cl  0.5019  0.5019  0.0038  2 Co 2.37, 6 Tc 2.42-2.54
Tc  0.7701  0.2701  0.5402  2 Cl 2.42, 4 Co 2.56, 2 Tc 2.68



3.
CoTcCl: relaxed, PBEsol.

Computed properties:
The value obtained for the formation energy without anion corrections is 0.74 eV per atom. The calculation puts the total energy at -6.2680 eV/atom. The density of states at the Fermi level comes out at 3.31 states/eV/cell. The value obtained for the energy above the most stable polymorph in this dataset is 0.98 eV/f.u.

Unit cell a=3.9537 b=3.9537 c=3.9537 alpha=60.00 beta=60.00 gamma=60.00
Last column: nearest neighbours and their distance in Å.
Atoms (fractional coordinates):
Co  0.5000  0.5000  0.5000  4 Tc 2.42
Cl  0.0000  0.0000  0.0000  4 Tc 2.42
Tc  0.2500  0.2500  0.2500  4 Cl 2.42, 4 Co 2.42



4.
CoTc2Cl: relaxed, PBEsol.

Computed properties:
The value obtained for the formation energy without anion corrections is 0.55 eV per atom. The calculation puts the total energy at -7.5168 eV/atom. The density of states at the Fermi level comes out at 3.84 states/eV/cell.

Unit cell a=2.7368 b=4.3026 c=6.3035 alpha=83.05 beta=77.46 gamma=71.46
Last column: nearest neighbours and their distance in Å.
Atoms (fractional coordinates):
Tc  0.7864  0.0881  0.3391  3 Co 2.42-2.54, 2 Tc 2.48, 2 Cl 2.54
Co  0.0000  0.5000  0.5000  6 Tc 2.42-2.54
Tc  0.2136  0.9119  0.6609  3 Co 2.42-2.54, 2 Tc 2.48, 2 Cl 2.54
Cl  0.5000  0.0000  0.0000  4 Tc 2.54, 2 Cl 2.74



5.
CoTcCl: relaxed, PBEsol.

Computed properties:
The value obtained for the formation energy without anion corrections is 0.41 eV per atom. The calculation puts the total energy at -6.5944 eV/atom. The density of states at the Fermi level comes out at 2.59 states/eV/cell. The value obtained for the energy above the most stable polymorph in this dataset is 0.00 eV/f.u.

Unit cell a=2.7856 b=2.7856 c=5.6781 alpha=104.20 beta=104.20 gamma=90.00
Last column: nearest neighbours and their distance in Å.
Atoms (fractional coordinates):
Tc  0.3242  0.3242  0.6484  4 Co 2.44, 4 Cl 2.63
Cl  0.9876  0.9876  0.9751  4 Tc 2.63, 4 Cl 2.79, 4 Co 2.91
Co  0.6883  0.6883  0.3765  4 Tc 2.44



6.
CoTeCl2: relaxed, PBEsol.

Computed properties:
The value obtained for the formation energy without anion corrections is 0.43 eV per atom. The calculation puts the total energy at -3.3877 eV/atom. The density of states at the Fermi level comes out at 3.98 states/eV/cell.

Unit cell a=4.6855 b=4.6855 c=4.6855 alpha=60.00 beta=60.00 gamma=60.00
Last column: nearest neighbours and their distance in Å.
Atoms (fractional coordinates):
Cl  0.2500  0.2500  0.2500  4 Cl 2.87, 4 Co 2.87
Cl  0.0000  0.0000  0.0000  4 Te 2.87, 4 Cl 2.87
Co  0.5000  0.5000  0.5000  4 Cl 2.87, 4 Te 2.87
Te  0.7500  0.7500  0.7500  4 Cl 2.87, 4 Co 2.87



7.
CoTe2Cl: relaxed, PBEsol.

Computed properties:
The value obtained for the formation energy without anion corrections is 0.34 eV per atom. The calculation puts the total energy at -3.8628 eV/atom. The density of states at the Fermi level comes out at 2.02 states/eV/cell. The value obtained for the energy above the most stable polymorph in this dataset is 2.55 eV/f.u.

Unit cell a=4.7454 b=4.7454 c=4.7454 alpha=60.00 beta=60.00 gamma=60.00
Last column: nearest neighbours and their distance in Å.
Atoms (fractional coordinates):
Te  0.7500  0.7500  0.7500  4 Co 2.91, 4 Cl 2.91
Te  0.2500  0.2500  0.2500  4 Cl 2.91, 4 Co 2.91
Co  0.0000  0.0000  0.0000  8 Te 2.91
Cl  0.5000  0.5000  0.5000  8 Te 2.91



8.
CoTe2Cl: relaxed, PBEsol.

Computed properties:
The value obtained for the formation energy without anion corrections is -0.12 eV per atom. The calculation puts the total energy at -4.3213 eV/atom. The density of states at the Fermi level comes out at 2.86 states/eV/cell. The value obtained for the energy above the most stable polymorph in this dataset is 0.71 eV/f.u.

Unit cell a=3.4644 b=3.4644 c=8.8048 alpha=78.65 beta=78.65 gamma=60.00
Last column: nearest neighbours and their distance in Å.
Atoms (fractional coordinates):
Te  0.7441  0.7441  0.7676  9 Te 3.39-3.46, 3 Cl 3.74
Te  0.9713  0.9713  0.0862  3 Co 2.43
Cl  0.5337  0.5337  0.3988  3 Co 2.38
Co  0.2509  0.2509  0.2474  3 Cl 2.38, 3 Te 2.43



9.
CoTe2Cl: relaxed, PBEsol.

Computed properties:
The value obtained for the formation energy without anion corrections is -0.30 eV per atom. The calculation puts the total energy at -4.4997 eV/atom. The density of states at the Fermi level comes out at 2.84 states/eV/cell. The value obtained for the energy above the most stable polymorph in this dataset is 0.00 eV/f.u.

Unit cell a=3.7245 b=3.7245 c=7.4564 alpha=76.17 beta=76.17 gamma=60.06
Last column: nearest neighbours and their distance in Å.
Atoms (fractional coordinates):
Cl  0.0000  0.0000  0.5000  6 Te 3.11-3.17
Co  0.5000  0.5000  0.0000  6 Te 2.50-2.51
Te  0.2231  0.2231  0.8210  3 Co 2.50-2.51
Te  0.7769  0.7769  0.1790  3 Co 2.50-2.51



10.
CoTeCl2: relaxed, PBEsol.

Computed properties:
The value obtained for the formation energy without anion corrections is -0.07 eV per atom. The calculation puts the total energy at -3.8918 eV/atom. The density of states at the Fermi level comes out at 3.20 states/eV/cell.

Unit cell a=2.9962 b=5.4239 c=6.1106 alpha=116.35 beta=104.19 gamma=90.00
Last column: nearest neighbours and their distance in Å.
Atoms (fractional coordinates):
Te  0.0000  0.5000  0.0000  2 Te 3.00, 4 Co 3.10, 4 Cl 3.16
Cl  0.8464  0.8464  0.6928  2 Co 2.20
Co  0.5000  0.0000  0.0000  4 Cl 2.20
Cl  0.1536  0.1536  0.3072  2 Co 2.20



11.
CoTe3Cl: relaxed, PBEsol.

Computed properties:
The value obtained for the formation energy without anion corrections is 0.28 eV per atom. The calculation puts the total energy at -3.7883 eV/atom. The density of states at the Fermi level comes out at 7.62 states/eV/cell.

Unit cell a=4.9645 b=4.9645 c=4.9645 alpha=90.00 beta=90.00 gamma=90.00
Last column: nearest neighbours and their distance in Å.
Atoms (fractional coordinates):
Te  0.0000  0.5000  0.0000  2 Co 2.48
Co  0.0000  0.0000  0.0000  6 Te 2.48
Te  0.0000  0.0000  0.5000  2 Co 2.48
Cl  0.5000  0.5000  0.5000  12 Te 3.51
Te  0.5000  0.0000  0.0000  2 Co 2.48



12.
CoTe2Cl: relaxed, PBEsol.

Computed properties:
The value obtained for the formation energy without anion corrections is 0.33 eV per atom. The calculation puts the total energy at -3.8653 eV/atom. The density of states at the Fermi level comes out at 3.43 states/eV/cell. The value obtained for the energy above the most stable polymorph in this dataset is 2.54 eV/f.u.

Unit cell a=4.9086 b=4.9086 c=4.9086 alpha=102.15 beta=113.25 gamma=113.25
Last column: nearest neighbours and their distance in Å.
Atoms (fractional coordinates):
Te  0.5000  0.0000  0.5000  2 Co 2.70, 2 Cl 2.70
Te  0.5000  0.5000  0.0000  2 Cl 2.70, 2 Co 2.70
Co  0.0000  0.0000  0.0000  4 Te 2.70
Cl  0.0000  0.5000  0.5000  4 Te 2.70